{
  "formula": "CsNaTl2Cr",
  "functional": "PBE-GGA",
  "state": "optimized geometry",
  "n_ef_per_ev_atom": 0.82,
  "magnetic_moment_mub_per_cell": 4.8,
  "energy_ev_per_atom": -2.191,
  "cell": [[6.6327, 0.0000, 0.0000], [0.0000, 6.6327, 0.0000], [0.0000, 0.0000, 6.1140]],
  "species": ["Cs", "Na", "Tl", "Tl", "Cr"],
  "frac_coords": [[0.0000, 0.0000, 0.0000], [0.5000, 0.5000, 0.5000], [0.0000, 0.5000, 0.0000], [0.5000, 0.0000, 0.0000], [0.0000, 0.0000, 0.5000]]
}